# RbWIO2

Crystalline RbWIO2 at its relaxed geometry (PBE with a Hubbard U, the Alexandria database).

Lattice parameters (Å, degrees): 4.288 4.288 5.814 90.00 90.00 90.00
Last column: magnetic moment on the atom in μB.
Element x y z (fractional)
O 0.500 0.000 0.000  -0.02
O 0.000 0.500 0.000  -0.02
I 0.000 0.000 0.500  -0.01
W 0.000 0.000 0.000  1.94
Rb 0.500 0.500 0.500  0.00

Calculated values
* ΔE to the lowest computed polymorph: 0 meV per atom
* V: 106.9 Å³/cell
* DOS at the Fermi energy: 0.98 states/eV/f.u.
* crystal system: tetragonal